1.
Entry from Alexandria: a geometry-optimized Pr3ReO8 structure (PBE-GGA).

It has space group P2_1/c (No. 14), with a = 7.566 Å, b = 6.242 Å, c = 15.143 Å, α = 90.00°, β = 110.74° and γ = 90.00°. The inequivalent atoms are Pr at (0.097, 0.237, 0.201), Pr at (0.161, 0.201, 0.446), Pr at (0.396, 0.688, 0.333), Re at (0.321, 0.745, 0.091), O at (0.095, 0.700, 0.984), O at (0.146, 0.031, 0.839), O at (0.172, 0.654, 0.168), O at (0.182, 0.531, 0.827), O at (0.253, 0.040, 0.096), O at (0.376, 0.047, 0.589), O at (0.472, 0.698, 0.522) and O at (0.474, 0.206, 0.791).

For the raw formation energy, the calculation gives -2764 meV/atom. The total DFT energy (no corrections) is -398.5 eV/cell.

***

2.
Entry from Alexandria: a geometry-optimized Pr4Re6O19 structure (PBE-GGA).

It has space group I23 (No. 197), with a = 9.120 Å, b = 9.120 Å, c = 9.120 Å, α = 90.00°, β = 90.00° and γ = 90.00°. The inequivalent atoms are Pr at (0.155, 0.155, 0.845), Re at (0.000, 0.367, 0.500), O at (0.000, 0.000, 0.000), O at (0.000, 0.000, 0.320) and O at (0.010, 0.342, 0.283).

For the raw formation energy, the calculation gives -2161 meV/atom. The total DFT energy (no corrections) is -501.4 eV/cell.

***

3.
Entry from Alexandria: a geometry-optimized Pr2ReO structure (PBE-GGA).

It has space group R-3m (No. 166, hexagonal axes), with a = 3.2991 Å, b = 3.2991 Å, c = 26.3980 Å, α = 90.00°, β = 90.00° and γ = 120.00°. The inequivalent atoms are Pr at (0.0000, 0.0000, 0.1052), Re at (0.0000, 0.0000, 0.0000) and O at (0.0000, 0.0000, 0.5000).

For the raw formation energy, the calculation gives -351 meV/atom. The total DFT energy (no corrections) is -85.1 eV/cell.

***

4.
Entry from Alexandria: a geometry-optimized PrRe4O12 structure (PBE-GGA).

It has space group Im-3m (No. 229), with a = 7.711 Å, b = 7.711 Å, c = 7.711 Å, α = 90.00°, β = 90.00° and γ = 90.00°. The inequivalent atoms are Pr at (0.000, 0.000, 0.000), Re at (0.250, 0.250, 0.250) and O at (0.000, 0.244, 0.244).

For the raw formation energy, the calculation gives -1808 meV/atom. The total DFT energy (no corrections) is -289.6 eV/cell.

***

5.
Entry from Alexandria: a geometry-optimized Pr6ReO12 structure (PBE-GGA).

It has space group R-3 (No. 148, hexagonal axes), with a = 10.2765 Å, b = 10.2765 Å, c = 9.8548 Å, α = 90.00°, β = 90.00° and γ = 120.00°. The inequivalent atoms are Pr at (0.0462, 0.7899, 0.1457), Re at (0.0000, 0.0000, 0.5000), O at (0.0371, 0.8109, 0.9036) and O at (0.0390, 0.8609, 0.3930).

For the raw formation energy, the calculation gives -2983 meV/atom. The total DFT energy (no corrections) is -471.9 eV/cell.

***

6.
Entry from Alexandria: a geometry-optimized PrRe2O8 structure (PBE-GGA).

It has space group P-3m1 (No. 164), with a = 6.3741 Å, b = 6.3741 Å, c = 6.5818 Å, α = 90.00°, β = 90.00° and γ = 120.00°. The inequivalent atoms are Pr at (0.0000, 0.0000, 0.0000), Re at (0.3333, 0.6667, 0.2890), O at (0.1818, 0.3637, 0.1951) and O at (0.3333, 0.6667, 0.5532).

For the raw formation energy, the calculation gives -2009 meV/atom. For the offset from the most stable computed form, the calculation gives 0.0000 eV/atom. The total DFT energy (no corrections) is -91.4 eV/cell.

***

7.
Entry from Alexandria: a geometry-optimized SrPrRe2O8 structure (PBE-GGA).

It has space group P-3m1 (No. 164), with a = 6.0152 Å, b = 6.0152 Å, c = 7.3469 Å, α = 90.00°, β = 90.00° and γ = 120.00°. The inequivalent atoms are Sr at (0.0000, 0.0000, 0.0000), Pr at (0.0000, 0.0000, 0.5000), Re at (0.3333, 0.6667, 0.8041), O at (0.1655, 0.3309, 0.7242) and O at (0.3333, 0.6667, 0.0469).

For the raw formation energy, the calculation gives -2023 meV/atom. The total DFT energy (no corrections) is -95.3 eV/cell.

***

8.
Entry from Alexandria: a geometry-optimized Tb2PrReO8 structure (PBE-GGA).

It has space group Cmmm (No. 65), with a = 7.195 Å, b = 7.244 Å, c = 6.916 Å, α = 90.00°, β = 90.00° and γ = 90.00°. The inequivalent atoms are Tb at (0.000, 0.000, 0.250), Pr at (0.000, 0.500, 0.000), Re at (0.000, 0.500, 0.500), O at (0.000, 0.184, 0.000), O at (0.000, 0.237, 0.500) and O at (0.183, 0.500, 0.300).

For the raw formation energy, the calculation gives -2736 meV/atom. The total DFT energy (no corrections) is -198.0 eV/cell.

***

9.
Entry from Alexandria: a geometry-optimized PrReTc2O8 structure (PBE-GGA).

It has space group Cmmm (No. 65), with a = 6.862 Å, b = 7.047 Å, c = 6.195 Å, α = 90.00°, β = 90.00° and γ = 90.00°. The inequivalent atoms are Pr at (0.000, 0.000, 0.000), Re at (0.000, 0.000, 0.500), Tc at (0.000, 0.500, 0.272), O at (0.000, 0.283, 0.500), O at (0.000, 0.335, 0.000) and O at (0.216, 0.000, 0.294).

For the raw formation energy, the calculation gives -1745 meV/atom. The total DFT energy (no corrections) is -197.1 eV/cell.

***

10.
Entry from Alexandria: a geometry-optimized PrTlReO6 structure (PBE-GGA).

It has space group P312 (No. 149), with a = 5.7895 Å, b = 5.7895 Å, c = 4.9518 Å, α = 90.00°, β = 90.00° and γ = 120.00°. The inequivalent atoms are Pr at (0.0000, 0.0000, 0.0000), Tl at (0.3333, 0.6667, 0.5000), Re at (0.6667, 0.3333, 0.0000) and O at (0.3908, 0.0653, 0.7821).

For the raw formation energy, the calculation gives -1751 meV/atom. The total DFT energy (no corrections) is -65.1 eV/cell.

***

11.
Entry from Alexandria: a geometry-optimized PrTlRe2O8 structure (PBE-GGA).

It has space group P-3 (No. 147), with a = 6.1875 Å, b = 6.1875 Å, c = 7.8491 Å, α = 90.00°, β = 90.00° and γ = 120.00°. The inequivalent atoms are Pr at (0.0000, 0.0000, 0.0000), Tl at (0.0000, 0.0000, 0.5000), Re at (0.3333, 0.6667, 0.2668), O at (0.1732, 0.3494, 0.1873) and O at (0.3333, 0.6667, 0.4913).

For the raw formation energy, the calculation gives -1797 meV/atom. The total DFT energy (no corrections) is -93.3 eV/cell.

***

12.
Entry from Alexandria: a geometry-optimized PrTl2ReO6 structure (PBE-GGA).

It has space group P-3m1 (No. 164), with a = 6.5249 Å, b = 6.5249 Å, c = 6.0881 Å, α = 90.00°, β = 90.00° and γ = 120.00°. The inequivalent atoms are Pr at (0.0000, 0.0000, 0.0000), Tl at (0.3333, 0.6667, 0.5286), Re at (0.0000, 0.0000, 0.5000) and O at (0.1347, 0.2693, 0.3090).

For the raw formation energy, the calculation gives -1647 meV/atom. The total DFT energy (no corrections) is -68.2 eV/cell.

***

13.
Entry from Alexandria: a geometry-optimized Pr2TlReO8 structure (PBE-GGA).

It has space group P-1 (No. 2), with a = 4.895 Å, b = 4.942 Å, c = 7.507 Å, α = 92.11°, β = 92.08° and γ = 94.21°. The inequivalent atoms are Pr at (0.054, 0.048, 0.261), Tl at (0.500, 0.500, 0.000), Re at (0.500, 0.500, 0.500), O at (0.201, 0.202, 0.980), O at (0.219, 0.230, 0.542), O at (0.278, 0.634, 0.313) and O at (0.368, 0.731, 0.683).

For the raw formation energy, the calculation gives -2105 meV/atom. The total DFT energy (no corrections) is -89.3 eV/cell.

***

14.
Entry from Alexandria: a geometry-optimized PrTm2ReO8 structure (PBE-GGA).

It has space group Cmmm (No. 65), with a = 7.081 Å, b = 7.160 Å, c = 6.842 Å, α = 90.00°, β = 90.00° and γ = 90.00°. The inequivalent atoms are Pr at (0.000, 0.000, 0.000), Tm at (0.000, 0.500, 0.248), Re at (0.000, 0.000, 0.500), O at (0.000, 0.267, 0.500), O at (0.000, 0.319, 0.000) and O at (0.187, 0.000, 0.300).

For the raw formation energy, the calculation gives -2773 meV/atom. The total DFT energy (no corrections) is -198.2 eV/cell.